A plane-wave DFT calculation with GGA-PBE was carried out for a relaxed Cr2CoPt8 crystal.

Results
Space group ... C2/m
Final energy ... -6.94 eV per atom
Magnetic moment ... 7.12 μB/f.u.
Formation enthalpy at 0 K ... -1.67 eV/f.u.

Lattice parameters (Å, degrees): 7.263 7.263 6.202 105.69 105.69 31.30
Element x y z (fractional)
Cr1 0.224 0.224 0.146
Cr2 0.776 0.776 0.854
Co1 0.500 0.500 0.500
Pt1 0.046 0.046 0.231
Pt2 0.142 0.142 0.697
Pt3 0.320 0.320 0.583
Pt4 0.402 0.402 0.047
Pt5 0.598 0.598 0.953
Pt6 0.680 0.680 0.417
Pt7 0.858 0.858 0.303
Pt8 0.954 0.954 0.769